[1]
# SmDy3Ho4 (PBE-GGA, relaxed)
data_SmDy3Ho4
_chemical_formula_sum 'Sm2 Dy6 Ho8'
_symmetry_space_group_name_H-M 'C m m m'
_symmetry_Int_Tables_number 65
_symmetry_space_group_name_Hall '-C 2 2'
_cell_length_a 5.622
_cell_length_b 26.098
_cell_length_c 3.536
_cell_angle_alpha 90.00
_cell_angle_beta 90.00
_cell_angle_gamma 90.00
loop_
_atom_site_label
_atom_site_type_symbol
_atom_site_fract_x
_atom_site_fract_y
_atom_site_fract_z
Sm1 Sm 0.000 0.000 0.000
Dy1 Dy 0.000 0.344 0.000
Dy2 Dy 0.000 0.500 0.500
Ho1 Ho 0.000 0.105 0.500
Ho2 Ho 0.000 0.224 0.500
# **Energy of formation**: 214 meV/atom
# **ΔE to the lowest computed polymorph**: 4.73 kcal/mol of atoms

=====

[2]
# Sm2Dy2Ho3 (PBE-GGA, relaxed)
data_Sm2Dy2Ho3
_chemical_formula_sum 'Sm4 Dy4 Ho6'
_symmetry_space_group_name_H-M 'C 1 2/m 1'
_symmetry_Int_Tables_number 12
_cell_length_a 17.447
_cell_length_b 3.500
_cell_length_c 8.526
_cell_angle_alpha 90.00
_cell_angle_beta 119.18
_cell_angle_gamma 90.00
loop_
_symmetry_equiv_pos_as_xyz
'x,y,z'
'-x,-y,-z'
'-x,y,-z'
'x,-y,z'
'x+1/2,y+1/2,z'
'-x+1/2,-y+1/2,-z'
'-x+1/2,y+1/2,-z'
'x+1/2,-y+1/2,z'
loop_
_atom_site_label
_atom_site_type_symbol
_atom_site_fract_x
_atom_site_fract_y
_atom_site_fract_z
Sm1 Sm 0.066 0.000 0.411
Dy1 Dy 0.149 0.500 0.831
Ho1 Ho 0.000 0.500 0.000
Ho2 Ho 0.212 0.500 0.301
# **Energy of formation**: 120 meV/atom
# **ΔE to the lowest computed polymorph**: 2.35 kcal/mol of atoms

=====

[3]
# SmDy3Ho3 (PBE-GGA, relaxed)
data_SmDy3Ho3
_chemical_formula_sum 'Sm6 Dy18 Ho18'
_symmetry_space_group_name_H-M 'R -3'
_symmetry_Int_Tables_number 148
_symmetry_space_group_name_Hall '-R 3'
_cell_length_a 6.1478
_cell_length_b 6.1478
_cell_length_c 42.5890
_cell_angle_alpha 90.00
_cell_angle_beta 90.00
_cell_angle_gamma 120.00
loop_
_atom_site_label
_atom_site_type_symbol
_atom_site_fract_x
_atom_site_fract_y
_atom_site_fract_z
Sm1 Sm 0.0000 0.0000 0.1667
Dy1 Dy 0.0000 0.3316 0.6329
Ho1 Ho 0.0001 0.3341 0.4328
# **Energy of formation**: 140 meV/atom
# **ΔE to the lowest computed polymorph**: 2.98 kcal/mol of atoms

=====

[4]
# Sm4DyHo4 (PBE-GGA, relaxed)
data_Sm4DyHo4
_chemical_formula_sum 'Sm8 Dy2 Ho8'
_symmetry_space_group_name_H-M 'C 1 2/m 1'
_symmetry_Int_Tables_number 12
_cell_length_a 16.768
_cell_length_b 5.570
_cell_length_c 6.818
_cell_angle_alpha 90.00
_cell_angle_beta 112.94
_cell_angle_gamma 90.00
loop_
_symmetry_equiv_pos_as_xyz
'x,y,z'
'-x,-y,-z'
'-x,y,-z'
'x,-y,z'
'x+1/2,y+1/2,z'
'-x+1/2,-y+1/2,-z'
'-x+1/2,y+1/2,-z'
'x+1/2,-y+1/2,z'
loop_
_atom_site_label
_atom_site_type_symbol
_atom_site_fract_x
_atom_site_fract_y
_atom_site_fract_z
Sm1 Sm 0.133 0.000 0.462
Sm2 Sm 0.219 0.500 0.787
Dy1 Dy 0.000 0.500 0.500
Ho1 Ho 0.073 0.000 0.879
Ho2 Ho 0.128 0.500 0.183
# **Energy of formation**: 107 meV/atom
# **ΔE to the lowest computed polymorph**: 2.02 kcal/mol of atoms